Compound: Pm3SmS4
Source: Alexandria
Functional: PBE
Structure: relaxed

Cell and atoms, written as POSCAR:
```
Pm3SmS4
1.0
6.9995 0.0662 0.0000
-2.3909 6.5799 0.0000
0.0000 0.0000 7.9905
S Pm Sm
8 6 2
direct
0.0009 0.7509 0.3742
0.0000 0.2485 0.1241
0.5000 0.2485 0.8759
0.4991 0.2491 0.3742
0.5009 0.7509 0.6258
0.9991 0.2491 0.6258
0.5000 0.7515 0.1241
0.0000 0.7515 0.8759
0.2500 0.0000 0.6249
0.7500 0.5000 0.1253
0.7500 0.5000 0.6247
0.2500 0.5000 0.3753
0.2500 0.5000 0.8747
0.7500 0.0000 0.3751
0.7500 0.0000 0.8747
0.2500 0.0000 0.1253
```

Output
Magnetic moment: 0.000 μB/cell
Formation energy without anion corrections: -196.3 kJ/mol of atoms
Fermi-level density of states: 3.658 states/eV/f.u.

=====

Compound: V5SiP4
Source: Alexandria
Functional: PBE
Structure: relaxed

Cell and atoms, written as POSCAR:
```
V5SiP4
1.0
-0.7272 2.8755 3.6431
3.2899 -1.3021 4.7134
3.5312 4.7186 0.0094
V P Si
5 4 1
direct
0.8795 0.4211 0.7515
0.6310 0.2485 0.4211
0.6618 0.0000 0.0000
0.3006 0.7515 0.5789
0.0521 0.5789 0.2485
0.7284 0.8353 0.6240
0.5637 0.6240 0.1647
0.3523 0.3760 0.8353
0.1876 0.1647 0.3760
0.1533 0.0000 0.0000
```

Output
Magnetic moment: 0.010 μB/cell
Formation energy without anion corrections: -43.0 kJ/mol of atoms
Fermi-level density of states: 11.039 states/eV/f.u.

=====

Compound: Re2PbO2
Source: Alexandria
Functional: PBE
Structure: relaxed

Cell and atoms, written as POSCAR:
```
Re2PbO2
1.0
-3.7324 6.3004 1.3530
-4.8904 -1.7512 -5.3361
-1.5574 -1.3223 1.8613
O Pb Re
4 2 4
direct
0.3859 0.1141 0.5000
0.6141 0.8859 0.5000
0.1141 0.6141 0.5000
0.8859 0.3859 0.5000
0.0000 0.0000 0.0000
0.5000 0.5000 0.0000
0.6174 0.1174 0.0000
0.3826 0.8826 0.0000
0.1174 0.3826 0.0000
0.8826 0.6174 0.0000
```

Output
Magnetic moment: 0.000 μB/cell
Formation energy without anion corrections: 49.6 kJ/mol of atoms
Fermi-level density of states: 3.801 states/eV/f.u.

=====

Compound: MnFe2Co
Source: Alexandria
Functional: PBE
Structure: relaxed

Cell and atoms, written as POSCAR:
```
MnFe2Co
1.0
4.3390 -0.0518 0.0000
-1.4716 4.0821 0.0000
0.0000 0.0000 2.4865
Mn Co Fe
1 1 2
direct
0.5000 0.0000 0.5000
0.0000 0.5000 0.5000
0.5000 0.5000 0.0000
0.0000 0.0000 0.0000
```

Output
ΔH_f (0 K): 69 meV/atom
Magnetic moment: 1.709 μB/cell
Fermi-level density of states: 4.873 states/eV/f.u.

=====

Compound: CaCd6
Source: Alexandria
Functional: PBE
Structure: relaxed

Cell and atoms, written as POSCAR:
```
CaCd6
1.0
6.0974 0.0000 0.0000
0.0000 9.2504 0.0000
0.0000 0.0000 11.9726
Cd Ca
24 4
direct
0.7500 0.6884 0.2637
0.7500 0.1022 0.4776
0.0146 0.4363 0.1897
0.2500 0.6352 0.3531
0.7500 0.1884 0.2363
0.2500 0.3978 0.9776
0.2500 0.5646 0.5856
0.7500 0.4354 0.4144
0.2500 0.8978 0.5224
0.5146 0.5637 0.8103
0.2500 0.3116 0.7363
0.7500 0.8648 0.8531
0.7500 0.6022 0.0224
0.7500 0.9354 0.0856
0.2500 0.1352 0.1469
0.4854 0.9363 0.3103
0.7500 0.3648 0.6469
0.9854 0.0637 0.6897
0.0146 0.9363 0.3103
0.4854 0.4363 0.1897
0.2500 0.0646 0.9144
0.5146 0.0637 0.6897
0.9854 0.5637 0.8103
0.2500 0.8116 0.7637
0.2500 0.7556 0.0659
0.7500 0.7444 0.5659
0.7500 0.2444 0.9341
0.2500 0.2556 0.4341
```

Output
ΔH_f (0 K): -165 meV/atom
Magnetic moment: 0.000 μB/cell
Fermi-level density of states: 1.673 states/eV/f.u.

=====

Compound: AlAgRu
Source: Alexandria
Functional: PBE
Structure: relaxed

Cell and atoms, written as POSCAR:
```
AlAgRu
1.0
-2.9613 -0.3479 -6.2190
-0.6561 -1.9089 -6.3694
-2.2958 -1.5492 0.3200
Al Ag Ru
1 1 1
direct
0.3240 0.3240 0.6760
0.9955 0.9955 0.0045
0.6804 0.6804 0.3196
```

Output
ΔH_f (0 K): 74 meV/atom
Magnetic moment: 0.000 μB/cell
Fermi-level density of states: 2.351 states/eV/f.u.

=====

Compound: CuSi2Hg
Source: Alexandria
Functional: PBE
Structure: relaxed

Cell and atoms, written as POSCAR:
```
CuSi2Hg
1.0
4.2471 0.0000 0.0000
0.0000 4.2471 0.0000
2.1236 2.1236 8.0087
Si Cu Hg
4 2 2
direct
0.8750 0.7933 0.7500
0.5433 0.1250 0.2500
0.3750 0.4567 0.7500
0.2067 0.6250 0.2500
0.5000 0.5000 0.0000
0.2500 0.7500 0.5000
0.0000 0.0000 0.0000
0.7500 0.2500 0.5000
```

Output
Magnetic moment: 0.000 μB/cell
Formation energy without anion corrections: 31.4 kJ/mol of atoms
Fermi-level density of states: 1.948 states/eV/f.u.

=====

Compound: Li4Ag2Sn5
Source: Alexandria
Functional: PBE
Structure: relaxed

Cell and atoms, written as POSCAR:
```
Li4Ag2Sn5
1.0
3.1311 0.0000 0.0000
0.0000 7.8145 0.2261
0.0000 -0.4928 9.3429
Sn Li Ag
5 4 2
direct
0.0000 0.4535 0.6625
0.0000 0.5000 0.0000
0.0000 0.1298 0.1295
0.0000 0.8702 0.8705
0.0000 0.5465 0.3375
0.5000 0.7770 0.5949
0.5000 0.2132 0.8622
0.5000 0.7868 0.1378
0.5000 0.2230 0.4051
0.0000 0.9097 0.3698
0.0000 0.0903 0.6302
```

Output
ΔH_f (0 K): -243 meV/atom
Magnetic moment: 0.000 μB/cell
Fermi-level density of states: 2.833 states/eV/f.u.

=====

Compound: BeReOs2
Source: Alexandria
Functional: PBE
Structure: relaxed

Cell and atoms, written as POSCAR:
```
BeReOs2
1.0
3.9102 0.0000 0.0000
0.0000 2.7239 -0.0014
0.0000 1.5209 5.0018
Be Os Re
1 2 1
direct
0.5000 0.7500 0.7500
0.0000 0.6044 0.5206
0.0000 0.8956 0.9794
0.5000 0.2500 0.2500
```

Output
ΔH_f (0 K): 79 meV/atom
Magnetic moment: 0.000 μB/cell
Fermi-level density of states: 2.774 states/eV/f.u.

=====

Compound: CsCd2Pb2
Source: Alexandria
Functional: PBE
Structure: relaxed

Cell and atoms, written as POSCAR:
```
CsCd2Pb2
1.0
9.7032 0.0000 0.0000
0.0000 9.7032 0.0000
0.0000 0.0000 3.5213
Cs Cd Pb
2 4 4
direct
0.0000 0.0000 0.0000
0.5000 0.5000 0.0000
0.1548 0.6548 0.5000
0.8452 0.3452 0.5000
0.3452 0.1548 0.5000
0.6548 0.8452 0.5000
0.6319 0.1319 0.0000
0.3681 0.8681 0.0000
0.1319 0.3681 0.0000
0.8681 0.6319 0.0000
```

Output
ΔH_f (0 K): -3 meV/atom
Magnetic moment: 0.000 μB/cell
Fermi-level density of states: 3.099 states/eV/f.u.